(1)
Density functional theory data (PBE) for a relaxed Ti2BiRhO crystal.

Cell: 4.928 4.928 3.840 Å, 90.00 90.00 90.00°
Element x y z (fractional)
Ti  0.000  0.500  0.000
Ti  0.500  0.000  0.000
Bi  0.000  0.000  0.500
Rh  0.500  0.500  0.000
O  0.500  0.500  0.500

Properties
- DOS at the Fermi energy: 1.076 states/eV/atom

(2)
Density functional theory data (PBE) for a relaxed TiBi2RhO6 crystal.

Cell: 5.479 6.019 9.284 Å, 90.00 123.80 90.00°
Element x y z (fractional)
Ti  0.000  0.000  0.000
Ti  0.000  0.500  0.500
Bi  0.268  0.062  0.750
Bi  0.268  0.438  0.250
Bi  0.732  0.562  0.750
Bi  0.732  0.938  0.250
Rh  0.500  0.000  0.500
Rh  0.500  0.500  0.000
O  0.134  0.039  0.248
O  0.134  0.461  0.748
O  0.222  0.711  0.053
O  0.222  0.789  0.553
O  0.349  0.164  0.045
O  0.349  0.336  0.545
O  0.651  0.664  0.455
O  0.651  0.836  0.955
O  0.778  0.211  0.447
O  0.778  0.289  0.947
O  0.866  0.539  0.252
O  0.866  0.961  0.752

Properties
- DOS at the Fermi energy: 0.114 states/eV/atom

(3)
Density functional theory data (PBE) for a relaxed Tl2Bi2RhO6 crystal.

Cell: 5.909 5.909 6.696 Å, 97.29 97.29 118.11°
Element x y z (fractional)
Tl  0.164  0.836  0.000
Tl  0.836  0.164  0.000
Bi  0.336  0.664  0.500
Bi  0.664  0.336  0.500
Rh  0.000  0.000  0.500
O  0.036  0.344  0.660
O  0.210  0.210  0.301
O  0.344  0.036  0.660
O  0.656  0.964  0.340
O  0.790  0.790  0.699
O  0.964  0.656  0.340

Properties
- DOS at the Fermi energy: 0.478 states/eV/atom

(4)
Density functional theory data (PBE) for a relaxed TlBi2RhO6 crystal.

Cell: 5.949 5.949 5.949 Å, 59.51 59.51 59.51°
Element x y z (fractional)
Tl  0.000  0.000  0.000
Bi  0.265  0.265  0.265
Bi  0.775  0.775  0.775
Rh  0.479  0.479  0.479
O  0.139  0.660  0.362
O  0.203  0.617  0.821
O  0.362  0.139  0.660
O  0.617  0.821  0.203
O  0.660  0.362  0.139
O  0.821  0.203  0.617

Properties
- DOS at the Fermi energy: 0.062 states/eV/atom

For reference, raw total energy by record: -32.40; -135.74; -58.81; -56.33 eV/cell.